# HfTiOsAu PBE-GGA relaxed
# * N(E_F): 2.8 states/eV/f.u.
# * final energy: -33.971 eV/cell
# * spin magnetization: 0.00 μB per atom
# * energy relative to the elements: -1.6 eV/f.u.
data_HfTiOsAu
_symmetry_space_group_name_H-M 'P 1'
_symmetry_Int_Tables_number 1
_cell_length_a 4.606
_cell_length_b 4.606
_cell_length_c 4.606
_cell_angle_alpha 60.00
_cell_angle_beta 60.00
_cell_angle_gamma 60.00
loop_
_symmetry_equiv_pos_as_xyz
'x,y,z'
loop_
_atom_site_label
_atom_site_fract_x
_atom_site_fract_y
_atom_site_fract_z
Hf1 0.000 0.000 0.000
Ti1 0.500 0.500 0.500
Os1 0.750 0.750 0.750
Au1 0.250 0.250 0.250

=====

# HfTl2OsAu PBE-GGA relaxed
# * N(E_F): 4.8 states/eV/f.u.
# * final energy: -21.442 eV/cell
# * spin magnetization: 0.00 μB per atom
# * energy relative to the elements: 7.8 eV/f.u.
data_HfTl2OsAu
_symmetry_space_group_name_H-M 'P 1'
_symmetry_Int_Tables_number 1
_cell_length_a 5.089
_cell_length_b 5.089
_cell_length_c 5.134
_cell_angle_alpha 90.00
_cell_angle_beta 90.00
_cell_angle_gamma 90.00
loop_
_symmetry_equiv_pos_as_xyz
'x,y,z'
loop_
_atom_site_label
_atom_site_fract_x
_atom_site_fract_y
_atom_site_fract_z
Hf1 0.000 0.000 0.000
Tl1 0.000 0.500 0.500
Tl2 0.500 0.000 0.500
Os1 0.500 0.500 0.000
Au1 0.500 0.500 0.500

=====

# HfV2OsAu PBE-GGA relaxed
# * N(E_F): 6.4 states/eV/f.u.
# * final energy: -37.941 eV/cell
# * spin magnetization: 0.37 μB per atom
# * energy relative to the elements: 4.8 eV/f.u.
data_HfV2OsAu
_symmetry_space_group_name_H-M 'P 1'
_symmetry_Int_Tables_number 1
_cell_length_a 4.498
_cell_length_b 4.498
_cell_length_c 5.095
_cell_angle_alpha 90.00
_cell_angle_beta 90.00
_cell_angle_gamma 90.00
loop_
_symmetry_equiv_pos_as_xyz
'x,y,z'
loop_
_atom_site_label
_atom_site_fract_x
_atom_site_fract_y
_atom_site_fract_z
Hf1 0.000 0.000 0.000
V1 0.000 0.500 0.500
V2 0.500 0.000 0.500
Os1 0.500 0.500 0.500
Au1 0.500 0.500 0.000

=====

# HfZr2OsAu PBE-GGA relaxed
# * N(E_F): 5.8 states/eV/f.u.
# * final energy: -33.100 eV/cell
# * spin magnetization: 0.32 μB per atom
# * energy relative to the elements: 8.5 eV/f.u.
data_HfZr2OsAu
_symmetry_space_group_name_H-M 'P 1'
_symmetry_Int_Tables_number 1
_cell_length_a 5.068
_cell_length_b 5.068
_cell_length_c 4.861
_cell_angle_alpha 90.00
_cell_angle_beta 90.00
_cell_angle_gamma 90.00
loop_
_symmetry_equiv_pos_as_xyz
'x,y,z'
loop_
_atom_site_label
_atom_site_fract_x
_atom_site_fract_y
_atom_site_fract_z
Hf1 0.000 0.000 0.000
Zr1 0.000 0.500 0.000
Zr2 0.500 0.000 0.000
Os1 0.500 0.500 0.500
Au1 0.000 0.000 0.500

=====

# Hf3PAu PBE-GGA relaxed
# * N(E_F): 4.0 states/eV/f.u.
# * final energy: -84.090 eV/cell
# * spin magnetization: 0.00 μB per atom
# * energy relative to the elements: -3.5 eV/f.u.
data_Hf3PAu
_symmetry_space_group_name_H-M 'P 1'
_symmetry_Int_Tables_number 1
_cell_length_a 6.417
_cell_length_b 3.768
_cell_length_c 8.235
_cell_angle_alpha 90.00
_cell_angle_beta 100.51
_cell_angle_gamma 90.00
loop_
_symmetry_equiv_pos_as_xyz
'x,y,z'
loop_
_atom_site_label
_atom_site_fract_x
_atom_site_fract_y
_atom_site_fract_z
Hf1 0.038 0.250 0.169
Hf2 0.327 0.750 0.416
Hf3 0.452 0.750 0.818
Hf4 0.548 0.250 0.182
Hf5 0.673 0.250 0.584
Hf6 0.962 0.750 0.831
P1 0.272 0.750 0.082
P2 0.728 0.250 0.918
Au1 0.147 0.250 0.618
Au2 0.853 0.750 0.382

=====

# Hf2P2Au PBE-GGA relaxed
# * N(E_F): 3.7 states/eV/f.u.
# * final energy: -75.274 eV/cell
# * spin magnetization: 0.00 μB per atom
# * energy relative to the elements: -3.6 eV/f.u.
data_Hf2P2Au
_symmetry_space_group_name_H-M 'P 1'
_symmetry_Int_Tables_number 1
_cell_length_a 7.348
_cell_length_b 7.348
_cell_length_c 3.397
_cell_angle_alpha 90.00
_cell_angle_beta 90.00
_cell_angle_gamma 90.00
loop_
_symmetry_equiv_pos_as_xyz
'x,y,z'
loop_
_atom_site_label
_atom_site_fract_x
_atom_site_fract_y
_atom_site_fract_z
Hf1 0.149 0.351 0.000
Hf2 0.351 0.851 0.000
Hf3 0.649 0.149 0.000
Hf4 0.851 0.649 0.000
P1 0.144 0.644 0.500
P2 0.356 0.144 0.500
P3 0.644 0.856 0.500
P4 0.856 0.356 0.500
Au1 0.000 0.000 0.000
Au2 0.500 0.500 0.000

=====

# Hf6PAu3 PBE-GGA relaxed
# * N(E_F): 7.8 states/eV/f.u.
# * final energy: -158.316 eV/cell
# * spin magnetization: 0.00 μB per atom
# * energy relative to the elements: -4.2 eV/f.u.
data_Hf6PAu3
_symmetry_space_group_name_H-M 'P 1'
_symmetry_Int_Tables_number 1
_cell_length_a 5.897
_cell_length_b 7.499
_cell_length_c 11.025
_cell_angle_alpha 90.00
_cell_angle_beta 120.88
_cell_angle_gamma 90.00
loop_
_symmetry_equiv_pos_as_xyz
'x,y,z'
loop_
_atom_site_label
_atom_site_fract_x
_atom_site_fract_y
_atom_site_fract_z
Hf1 0.069 0.044 0.240
Hf2 0.069 0.456 0.740
Hf3 0.176 0.688 0.066
Hf4 0.176 0.812 0.566
Hf5 0.431 0.154 0.067
Hf6 0.431 0.346 0.567
Hf7 0.569 0.654 0.433
Hf8 0.569 0.846 0.933
Hf9 0.824 0.188 0.434
Hf10 0.824 0.312 0.934
Hf11 0.931 0.544 0.260
Hf12 0.931 0.956 0.760
P1 0.000 0.000 0.000
P2 0.000 0.500 0.500
Au1 0.327 0.129 0.740
Au2 0.327 0.371 0.240
Au3 0.500 0.000 0.500
Au4 0.500 0.500 0.000
Au5 0.673 0.629 0.760
Au6 0.673 0.871 0.260

=====

# HfPAu2 PBE-GGA relaxed
# * N(E_F): 3.1 states/eV/f.u.
# * final energy: -46.135 eV/cell
# * spin magnetization: 0.00 μB per atom
# * energy relative to the elements: -1.1 eV/f.u.
data_HfPAu2
_symmetry_space_group_name_H-M 'P 1'
_symmetry_Int_Tables_number 1
_cell_length_a 5.941
_cell_length_b 5.941
_cell_length_c 5.941
_cell_angle_alpha 101.51
_cell_angle_beta 101.51
_cell_angle_gamma 126.93
loop_
_symmetry_equiv_pos_as_xyz
'x,y,z'
loop_
_atom_site_label
_atom_site_fract_x
_atom_site_fract_y
_atom_site_fract_z
Hf1 0.000 0.000 0.000
Hf2 0.750 0.250 0.500
P1 0.250 0.750 0.500
P2 0.500 0.500 0.000
Au1 0.162 0.625 0.037
Au2 0.375 0.412 0.537
Au3 0.588 0.125 0.963
Au4 0.875 0.838 0.463